Record 1
Computed, not measured: a relaxed structure of TbPrDy2Er5 at the PBE level of DFT. Values from VASP.

Values from the calculation:
- calculated total energy (Ry/atom) = -0.317
- theoretical density (g cm⁻³) = 8.37
- ΔE_f (eV per atom) = 0.285

Geometry as Quantum ESPRESSO input:
```
&SYSTEM
  ibrav = 0, nat = 18, ntyp = 4
/
ATOMIC_SPECIES
Er 167.26 Er.upf
Dy 162.50 Dy.upf
Tb 158.93 Tb.upf
Pr 140.91 Pr.upf
ATOMIC_POSITIONS angstrom
Er 7.077 2.625 1.925
Dy 5.455 1.003 0.000
Er 6.278 7.077 1.925
Tb 4.452 0.000 3.656
Er -1.826 -2.625 5.386
Pr 4.452 4.452 3.656
Dy 3.448 7.900 0.000
Er -2.625 1.826 5.386
Er 1.826 2.625 5.386
Dy 1.003 3.448 0.000
Er 2.625 -1.826 5.386
Pr 0.000 0.000 3.656
Er 2.625 1.826 1.925
Tb 0.000 4.452 3.656
Dy 7.900 5.455 0.000
Er 4.452 4.452 0.000
Er 0.000 0.000 0.000
Er 1.826 6.278 1.925
CELL_PARAMETERS angstrom
8.904 0.000 0.000
0.000 8.904 0.000
-4.452 -4.452 7.311
```



Record 2
Computed, not measured: a relaxed structure of TbPr2Dy6Er3 at the PBE level of DFT. Values from VASP.

Values from the calculation:
- calculated total energy (Ry/atom) = -0.338
- theoretical density (g cm⁻³) = 8.31
- ΔE_f (eV per atom) = 0.020

Geometry as Quantum ESPRESSO input:
```
&SYSTEM
  ibrav = 0, nat = 12, ntyp = 4
/
ATOMIC_SPECIES
Dy 162.50 Dy.upf
Pr 140.91 Pr.upf
Tb 158.93 Tb.upf
Er 167.26 Er.upf
ATOMIC_POSITIONS angstrom
Dy 2.060 3.568 2.969
Dy -0.013 -0.023 8.662
Pr 0.002 3.564 0.008
Tb 0.000 0.000 0.000
Er -2.063 3.555 5.816
Er 4.110 -0.010 5.816
Pr 3.086 1.783 0.008
Dy 2.051 -0.001 2.958
Er 1.023 1.772 5.816
Dy -0.004 3.545 8.673
Dy 3.073 1.769 8.673
Dy -1.026 1.775 2.958
CELL_PARAMETERS angstrom
6.170 0.001 0.008
-3.083 5.345 0.008
-1.041 -1.802 11.614
```



Record 3
Computed, not measured: a relaxed structure of Tb2PrDyEr6 at the PBE level of DFT. Values from VASP.

Values from the calculation:
- calculated total energy (Ry/atom) = -0.329
- theoretical density (g cm⁻³) = 8.46
- ΔE_f (eV per atom) = 0.121

Geometry as Quantum ESPRESSO input:
```
&SYSTEM
  ibrav = 0, nat = 20, ntyp = 4
/
ATOMIC_SPECIES
Tb 158.93 Tb.upf
Er 167.26 Er.upf
Dy 162.50 Dy.upf
Pr 140.91 Pr.upf
ATOMIC_POSITIONS angstrom
Tb 5.357 -0.122 1.014
Er 6.666 -2.512 3.303
Dy 7.615 2.558 0.696
Er 4.036 6.673 1.014
Er 9.460 4.952 -1.589
Tb 5.344 4.283 3.303
Tb 0.830 2.020 0.954
Er 5.769 4.931 -1.611
Er 6.583 1.285 3.679
Er 1.241 -0.791 5.907
Pr 7.615 -3.548 6.580
Pr 3.087 7.709 -2.262
Er 2.056 4.630 2.460
Er 8.563 -0.235 5.666
Tb 9.872 2.141 3.363
Er 4.933 -0.770 5.929
Er 8.646 -0.469 1.858
Er 2.139 4.396 -1.349
Dy 3.087 1.602 3.621
Er 4.119 2.875 0.639
CELL_PARAMETERS angstrom
9.055 -2.003 -2.078
0.823 8.476 -2.000
0.823 -2.313 8.396
```



Record 4
Computed, not measured: a relaxed structure of TbPr6Dy2Er3 at the PBE level of DFT. Values from VASP.

Values from the calculation:
- calculated total energy (Ry/atom) = -0.343
- theoretical density (g cm⁻³) = 7.59
- ΔE_f (eV per atom) = 0.012

Geometry as Quantum ESPRESSO input:
```
&SYSTEM
  ibrav = 0, nat = 12, ntyp = 4
/
ATOMIC_SPECIES
Er 167.26 Er.upf
Pr 140.91 Pr.upf
Tb 158.93 Tb.upf
Dy 162.50 Dy.upf
ATOMIC_POSITIONS angstrom
Er 2.131 -3.722 5.769
Er -1.319 -3.901 4.639
Pr -2.388 -2.044 1.765
Er -4.768 -4.079 3.508
Tb 0.000 0.000 0.000
Dy -1.263 -3.058 -1.504
Pr -0.202 -4.924 1.392
Pr 1.063 -1.866 2.896
Dy 2.186 -2.880 -0.374
Pr -3.700 -5.935 6.381
Pr -0.249 -5.757 7.512
Pr -2.435 -2.877 7.885
CELL_PARAMETERS angstrom
-4.714 -3.236 -2.635
5.636 -2.702 0.757
-3.560 -1.863 11.156
```



Record 5
Computed, not measured: a relaxed structure of TbPr5DyEr2 at the PBE level of DFT. Values from VASP.

Values from the calculation:
- calculated total energy (Ry/atom) = -0.335
- theoretical density (g cm⁻³) = 7.21
- ΔE_f (eV per atom) = 0.143

Geometry as Quantum ESPRESSO input:
```
&SYSTEM
  ibrav = 0, nat = 18, ntyp = 4
/
ATOMIC_SPECIES
Pr 140.91 Pr.upf
Er 167.26 Er.upf
Tb 158.93 Tb.upf
Dy 162.50 Dy.upf
ATOMIC_POSITIONS angstrom
Pr -0.326 -0.165 -0.012
Pr -10.404 -4.488 -3.125
Pr -12.128 -3.971 0.157
Pr -4.578 -6.315 -1.287
Pr -5.972 -2.950 -0.201
Er -7.854 2.221 1.442
Tb -2.363 -3.265 -0.666
Dy -8.765 -4.260 -0.275
Er -6.842 -4.400 -3.473
Tb -8.259 -1.455 -2.501
Pr -2.641 1.838 -2.168
Dy -9.888 4.549 -0.652
Er -4.043 -0.214 0.363
Er -11.855 -1.215 -2.058
Pr -9.651 -1.047 0.716
Pr -6.233 1.713 -1.827
Pr -10.015 1.576 -1.470
Pr -4.440 -1.509 -2.916
CELL_PARAMETERS angstrom
-0.568 1.519 -5.431
-5.422 -9.128 0.972
-8.879 5.538 2.477
```



Record 6
Computed, not measured: a relaxed structure of TbPrDy6Er2 at the PBE level of DFT. Values from VASP.

Values from the calculation:
- calculated total energy (Ry/atom) = -0.330
- theoretical density (g cm⁻³) = 8.28
- ΔE_f (eV per atom) = 0.121

Geometry as Quantum ESPRESSO input:
```
&SYSTEM
  ibrav = 0, nat = 20, ntyp = 4
/
ATOMIC_SPECIES
Dy 162.50 Dy.upf
Er 167.26 Er.upf
Pr 140.91 Pr.upf
Tb 158.93 Tb.upf
ATOMIC_POSITIONS angstrom
Dy 5.161 3.036 -1.519
Dy 5.053 5.971 0.759
Dy 1.286 7.628 4.434
Dy 0.227 1.397 7.718
Er 0.726 4.594 2.938
Dy 1.837 7.532 1.284
Dy 3.695 5.513 3.950
Dy 0.366 -1.073 4.941
Dy 3.994 -0.260 4.043
Pr 4.453 9.710 0.240
Dy 0.120 4.332 9.996
Er 4.555 2.774 5.538
Dy 3.443 -0.164 7.192
Tb 1.401 4.828 6.385
Dy 1.586 1.855 4.527
Dy 4.914 8.441 3.535
Er 1.656 -0.169 1.761
Er 3.624 7.537 6.716
Pr 0.827 -2.342 8.236
Tb 3.879 2.540 2.091
CELL_PARAMETERS angstrom
-2.996 7.713 4.639
1.420 -4.520 7.390
6.856 4.175 -3.553
```